(1)
AsPBr2 | GGA-PBEsol | optimized geometry

uncorrected formation energy: -0.124 eV per atom

Cell: 10.7695 3.5638 5.7782 Å, 90.00 98.87 90.00°
With the nearest neighbours (Å) after each atom.
Space group Cm (No. 8)
Asymmetric unit:
As1 0.0000 0.0000 0.0000 [2 per cell]  1 Br 2.38, 2 P 2.42
P1 0.4236 0.0000 0.7322 [2 per cell]  1 Br 2.26, 2 As 2.42
Br1 0.0980 0.5000 0.5595 [2 per cell]  1 P 2.26
Br2 0.3137 0.5000 0.1737 [2 per cell]  1 As 2.38

(2)
NiOsCl2 | GGA-PBEsol | optimized geometry

uncorrected formation energy: 0.420 eV per atom

Cell: 2.8918 2.8918 7.4882 Å, 90.00 90.00 90.00°
With the nearest neighbours (Å) after each atom.
Space group P4mm (No. 99)
Asymmetric unit:
Ni1 0.0000 0.0000 0.0000 [1 per cell]  4 Cl 2.51, 4 Os 2.56
Os1 0.5000 0.5000 0.2068 [1 per cell]  4 Ni 2.56, 4 Cl 2.57
Cl1 0.0000 0.0000 0.4147 [1 per cell]  4 Os 2.57
Cl2 0.5000 0.5000 0.8057 [1 per cell]  4 Ni 2.51

(3)
TaFePt2 | GGA-PBEsol | optimized geometry

formation enthalpy at 0 K: -0.57 eV per atom

Cell: 3.8239 3.8239 7.8979 Å, 90.00 90.00 90.00°
With the nearest neighbours (Å) after each atom.
Space group I4/mmm (No. 139)
Asymmetric unit:
Ta1 0.0000 0.0000 0.0000 [2 per cell]  4 Fe 2.70, 8 Pt 2.75
Fe1 0.0000 0.0000 0.5000 [2 per cell]  4 Ta 2.70, 8 Pt 2.75
Pt1 0.0000 0.5000 0.2500 [4 per cell]  4 Pt 2.70, 4 Ta 2.75, 4 Fe 2.75

(4)
FeRh5 | GGA-PBEsol | optimized geometry

formation enthalpy at 0 K: 0.19 eV per atom

Cell: 2.6301 2.6301 13.2841 Å, 90.00 90.00 120.00°
With the nearest neighbours (Å) after each atom.
Space group P-3m1 (No. 164)
Asymmetric unit:
Fe1 0.0000 0.0000 0.0000 [1 per cell]  6 Rh 2.50, 6 Fe 2.63
Rh1 0.0000 0.0000 0.5000 [1 per cell]  12 Rh 2.63-2.65
Rh2 0.3333 0.6667 0.6638 [2 per cell]  10 Rh 2.49-2.65
Rh3 0.3333 0.6667 0.8509 [2 per cell]  7 Rh 2.49-2.63, 3 Fe 2.50

(5)
Er3Si13Ir4 | GGA-PBEsol | optimized geometry

uncorrected formation energy: -0.681 eV per atom

Cell: 8.6539 8.6539 8.6539 Å, 90.00 90.00 90.00°
With the nearest neighbours (Å) after each atom.
Space group Pm-3n (No. 223)
Asymmetric unit:
Er1 0.0000 0.2500 0.5000 [6 per cell]  12 Si 3.05-3.16, 4 Ir 3.06
Si1 0.0000 0.0000 0.0000 [2 per cell]  12 Si 2.81
Si2 0.0000 0.2936 0.1377 [24 per cell]  1 Si 2.38, 2 Ir 2.40
Ir1 0.2500 0.2500 0.2500 [8 per cell]  6 Si 2.40

(6)
Be2AlRe | GGA-PBEsol | optimized geometry

formation enthalpy at 0 K: 0.10 eV per atom

Cell: 5.0586 7.9974 2.5768 Å, 90.00 114.19 90.00°
With the nearest neighbours (Å) after each atom.
Space group C2/m (No. 12)
Asymmetric unit:
Be1 0.2500 0.2500 0.0000 [4 per cell]  2 Re 2.43, 2 Al 2.43, 4 Be 2.53-2.58
Al1 0.0000 0.0000 0.5000 [2 per cell]  4 Be 2.43, 2 Re 2.53, 2 Al 2.58
Re1 0.0000 0.5000 0.5000 [2 per cell]  4 Be 2.43, 2 Al 2.53, 2 Re 2.58

(7)
Ca2AgSb | GGA-PBEsol | optimized geometry

uncorrected formation energy: -0.659 eV per atom

Cell: 5.0933 5.0933 3.9423 Å, 90.00 90.00 90.00°
With the nearest neighbours (Å) after each atom.
Space group P4/mmm (No. 123)
Asymmetric unit:
Ca1 0.0000 0.5000 0.0000 [2 per cell]  4 Sb 3.22, 4 Ag 3.22, 4 Ca 3.60
Ag1 0.0000 0.0000 0.5000 [1 per cell]  8 Ca 3.22, 4 Sb 3.60
Sb1 0.5000 0.5000 0.5000 [1 per cell]  8 Ca 3.22, 4 Ag 3.60

(8)
ScTl7 | GGA-PBEsol | optimized geometry

formation enthalpy at 0 K: -0.05 eV per atom

Cell: 9.4039 9.4039 9.4039 Å, 90.00 90.00 90.00°
With the nearest neighbours (Å) after each atom.
Space group Fm-3m (No. 225)
Asymmetric unit:
Sc1 0.0000 0.0000 0.0000 [4 per cell]  12 Tl 3.32
Tl1 0.0000 0.0000 0.5000 [4 per cell]  12 Tl 3.32
Tl2 0.0000 0.2500 0.2500 [24 per cell]  10 Tl 3.32, 2 Sc 3.32

| no. | V (Å³ per atom) |
| --- | --- |
| 1 | 27.4 |
| 2 | 15.7 |
| 3 | 14.4 |
| 4 | 13.3 |
| 5 | 16.2 |
| 6 | 11.9 |
| 7 | 25.6 |
| 8 | 26.0 |